Here is a relaxed AcThNi crystal from the Alexandria database. Energies are from PBE.

The value obtained for the formation energy is -0.1073 eV per atom. As for the crystal system: tetragonal. As for the total moment: 0.0 μB/f.u. The calculation puts the energy above the lowest structure with this stoichiometry at 0.005 eV per atom.

The structure belongs to space group I4mm (No. 107); the cell edges are 3.6725, 3.6725 and 12.6207 Å and the angles 90.00°, 90.00° and 90.00°. The asymmetric unit holds Ac at (0.0000, 0.0000, 0.0000), Th at (0.0000, 0.0000, 0.7230) and Ni at (0.0000, 0.0000, 0.3139).

***

Here is a relaxed TmHfTa crystal from the Alexandria database. Energies are from PBE.

The value obtained for the formation energy is 0.2682 eV per atom. As for the crystal system: trigonal. As for the total moment: 0.0 μB/f.u. The calculation puts the energy above the lowest structure with this stoichiometry at 0.025 eV per atom.

The structure belongs to space group R-3m (No. 166, hexagonal axes); the cell edges are 3.2573, 3.2573 and 45.6597 Å and the angles 90.00°, 90.00° and 120.00°. The asymmetric unit holds Tm at (0.0000, 0.0000, 0.1330), Hf at (0.0000, 0.0000, 0.4062) and Ta at (0.0000, 0.0000, 0.3109).

***

Here is a relaxed CaNp2Cl8 crystal from the Alexandria database. Energies are from PBE.

As for the crystal system: monoclinic. As for the total moment: 8.0 μB/f.u. Its energy relative to the elements, uncorrected is -1.89 eV/atom. The calculation puts the energy above the lowest structure with this stoichiometry at 0.000 eV per atom.

The structure belongs to space group C2/m (No. 12); the cell edges are 21.4594, 3.9949 and 7.9191 Å and the angles 90.00°, 98.76° and 90.00°. The asymmetric unit holds Ca at (0.0000, 0.0000, 0.0000), Np at (0.1574, 0.5000, 0.3429), Cl at (0.0185, 0.5000, 0.2365), Cl at (0.1150, 0.0000, 0.5315), Cl at (0.1302, 0.0000, 0.0733) and Cl at (0.2449, 0.5000, 0.6653).